A relaxed structure of LiMg3Cd4, computed with GGA-PBE.

Output
Relative energy among the computed polymorphs in meV per atom: 0.0
ΔE_f in eV/atom: -0.156
Final energy in eV/atom: -1.45
Space-group type: Pmma (51)

Cell lengths 9.9700, 6.4219, 5.2224 Å; angles 90.00, 90.00, 90.00 degrees
Element x y z (fractional)
Li 0.0000 0.0000 0.0000
Li 0.5000 0.0000 0.0000
Mg 0.0000 0.5000 0.0000
Mg 0.2500 0.0000 0.3693
Mg 0.2500 0.5000 0.3795
Mg 0.5000 0.5000 0.0000
Mg 0.7500 0.0000 0.6307
Mg 0.7500 0.5000 0.6205
Cd 0.0000 0.2448 0.5000
Cd 0.0000 0.7552 0.5000
Cd 0.2500 0.2446 0.8774
Cd 0.2500 0.7554 0.8774
Cd 0.5000 0.2448 0.5000
Cd 0.5000 0.7552 0.5000
Cd 0.7500 0.2446 0.1226
Cd 0.7500 0.7554 0.1226